[1]
A relaxed Ac2DySc crystal. Source: the Alexandria database, functional PBE.

Summary:
ΔH_f (0 K) (meV per atom): 141
Electronic total energy (eV per cell): -18.59
Fermi-level density of states (states/eV per cell): 6.41

Lattice parameters (Å, degrees): 3.747 3.747 11.966 80.99 80.99 60.00
Fractional coordinates of all 4 atoms:
Dy 0.668 0.668 0.996
Ac 0.086 0.086 0.742
Ac 0.247 0.247 0.259
Sc 0.499 0.499 0.502

=====

[2]
A relaxed AcDySc2 crystal. Source: the Alexandria database, functional PBE.

Summary:
ΔH_f (0 K) (meV per atom): 104
Electronic total energy (eV per cell): -20.96
Fermi-level density of states (states/eV per cell): 5.39

Lattice parameters (Å, degrees): 5.581 5.581 5.581 60.00 60.00 60.00
Fractional coordinates of all 4 atoms:
Dy 0.000 0.000 0.000
Ac 0.500 0.500 0.500
Sc 0.250 0.250 0.250
Sc 0.750 0.750 0.750

=====

[3]
A relaxed Ac2DySc crystal. Source: the Alexandria database, functional PBE.

Summary:
ΔH_f (0 K) (meV per atom): 77
Electronic total energy (eV per cell): -18.84
Fermi-level density of states (states/eV per cell): 4.88

Lattice parameters (Å, degrees): 3.906 3.906 9.367 90.00 90.00 90.00
Fractional coordinates of all 4 atoms:
Sc 0.500 0.500 0.000
Ac 0.000 0.000 0.764
Ac 0.000 0.000 0.236
Dy 0.500 0.500 0.500

=====

[4]
A relaxed AcDySc crystal. Source: the Alexandria database, functional PBE.

Summary:
ΔH_f (0 K) (meV per atom): 110
Electronic total energy (eV per cell): -14.71
Fermi-level density of states (states/eV per cell): 4.81

Lattice parameters (Å, degrees): 3.720 3.720 7.661 104.05 104.05 90.00
Fractional coordinates of all 3 atoms:
Dy 0.321 0.321 0.641
Ac 0.006 0.006 0.012
Sc 0.673 0.673 0.347

=====

[5]
A relaxed AcDySc2 crystal. Source: the Alexandria database, functional PBE.

Summary:
ΔH_f (0 K) (meV per atom): 137
Electronic total energy (eV per cell): -20.83
Fermi-level density of states (states/eV per cell): 5.08

Lattice parameters (Å, degrees): 3.575 3.575 11.254 80.86 80.86 60.00
Fractional coordinates of all 4 atoms:
Sc 0.753 0.753 0.741
Sc 0.247 0.247 0.259
Dy 0.500 0.500 0.500
Ac 0.000 0.000 0.000

=====

[6]
A relaxed AcDySc2 crystal. Source: the Alexandria database, functional PBE.

Summary:
ΔH_f (0 K) (meV per atom): 102
Electronic total energy (eV per cell): -20.97
Fermi-level density of states (states/eV per cell): 5.24

Lattice parameters (Å, degrees): 4.420 5.250 5.250 90.00 90.00 90.00
Fractional coordinates of all 4 atoms:
Dy 0.500 0.500 0.500
Ac 0.500 0.000 0.000
Sc 0.000 0.500 0.000
Sc 0.000 0.000 0.500

=====

[7]
A relaxed AcDySc crystal. Source: the Alexandria database, functional PBE.

Summary:
ΔH_f (0 K) (meV per atom): 807
Electronic total energy (eV per cell): -25.24
Fermi-level density of states (states/eV per cell): 11.10

Lattice parameters (Å, degrees): 6.240 6.240 6.088 90.00 90.00 90.00
Fractional coordinates of all 6 atoms:
Sc 0.500 0.000 0.693
Sc 0.000 0.500 0.307
Ac 0.500 0.500 0.000
Ac 0.000 0.000 0.000
Dy 0.500 0.000 0.199
Dy 0.000 0.500 0.801

=====

[8]
A relaxed AcDySc2 crystal. Source: the Alexandria database, functional PBE.

Summary:
ΔH_f (0 K) (meV per atom): 91
Electronic total energy (eV per cell): -21.01
Fermi-level density of states (states/eV per cell): 6.06

Lattice parameters (Å, degrees): 3.988 3.988 7.729 90.00 90.00 90.00
Fractional coordinates of all 4 atoms:
Sc 0.000 0.000 0.772
Sc 0.000 0.000 0.228
Dy 0.500 0.500 0.000
Ac 0.500 0.500 0.500

=====

[9]
A relaxed AcDy14Sc crystal. Source: the Alexandria database, functional PBE.

Summary:
ΔH_f (0 K) (meV per atom): 26
Electronic total energy (eV per cell): -74.45
Fermi-level density of states (states/eV per cell): 26.39

Lattice parameters (Å, degrees): 7.251 7.251 11.317 90.00 90.00 120.14
Fractional coordinates of all 16 atoms:
Dy 0.166 0.834 0.500
Dy 0.337 0.171 0.252
Dy 0.334 0.666 0.744
Dy 0.337 0.171 0.748
Dy 0.829 0.663 0.748
Dy 0.167 0.333 0.500
Dy 0.170 0.337 0.000
Dy 0.832 0.168 0.246
Dy 0.829 0.663 0.252
Dy 0.832 0.168 0.754
Dy 0.663 0.830 0.000
Dy 0.667 0.833 0.500
Dy 0.667 0.333 0.500
Dy 0.334 0.666 0.256
Sc 0.666 0.334 0.000
Ac 0.169 0.831 0.000

=====

[10]
A relaxed AcDySc2 crystal. Source: the Alexandria database, functional PBE.

Summary:
ΔH_f (0 K) (meV per atom): 131
Electronic total energy (eV per cell): -20.85
Fermi-level density of states (states/eV per cell): 6.98

Lattice parameters (Å, degrees): 3.592 3.592 11.230 80.80 80.80 60.00
Fractional coordinates of all 4 atoms:
Ac 0.667 0.667 0.000
Sc 0.247 0.247 0.260
Sc 0.087 0.087 0.740
Dy 0.500 0.500 0.500

=====

[11]
A relaxed Ac14DySc crystal. Source: the Alexandria database, functional PBE.

Summary:
ΔH_f (0 K) (meV per atom): 46
Electronic total energy (eV per cell): -67.72
Fermi-level density of states (states/eV per cell): 26.24

Lattice parameters (Å, degrees): 7.834 7.834 11.148 90.00 90.00 90.01
Fractional coordinates of all 16 atoms:
Ac 0.127 0.377 0.759
Ac 0.875 0.625 0.000
Ac 0.623 0.873 0.241
Ac 0.127 0.873 0.241
Ac 0.623 0.377 0.242
Ac 0.127 0.377 0.241
Ac 0.375 0.625 0.500
Ac 0.375 0.125 0.000
Ac 0.127 0.873 0.759
Ac 0.875 0.125 0.500
Ac 0.375 0.125 0.500
Ac 0.623 0.377 0.758
Ac 0.623 0.873 0.759
Ac 0.875 0.625 0.500
Sc 0.375 0.625 0.000
Dy 0.875 0.125 0.000

=====

[12]
A relaxed AcDySc crystal. Source: the Alexandria database, functional PBE.

Summary:
ΔH_f (0 K) (meV per atom): 122
Electronic total energy (eV per cell): -14.68
Fermi-level density of states (states/eV per cell): 4.45

Lattice parameters (Å, degrees): 3.658 3.658 8.574 90.00 90.00 120.00
Fractional coordinates of all 3 atoms:
Ac 0.667 0.333 0.324
Dy 0.333 0.667 0.685
Sc 0.000 0.000 0.991

=====

[13]
A relaxed AcDyScSe3 crystal. Source: the Alexandria database, functional PBE.

Summary:
ΔE_f (raw) (meV/atom): -1614.3
Electronic total energy (eV per cell): -70.36
Fermi-level density of states (states/eV per cell): 6.96

Lattice parameters (Å, degrees): 4.166 8.565 9.493 106.70 90.00 90.00
Site moments in Bohr magnetons follow the coordinates.
Fractional coordinates of all 12 atoms:
Ac 0.250 0.190 0.223  0.01
Ac 0.750 0.810 0.777  0.01
Dy 0.250 0.660 0.139  0.11
Dy 0.750 0.340 0.861  0.11
Se 0.250 0.105 0.880  0.00
Se 0.750 0.237 0.498  -0.01
Se 0.250 0.552 0.820  0.00
Se 0.750 0.448 0.180  0.00
Se 0.250 0.763 0.502  -0.01
Se 0.750 0.895 0.120  0.00
Sc 0.750 0.896 0.400  0.42
Sc 0.250 0.104 0.600  0.42

=====

[14]
A relaxed AcDy2ScSe6 crystal. Source: the Alexandria database, functional PBE.

Summary:
ΔE_f (raw) (meV/atom): -1811.5
Electronic total energy (eV per cell): -58.67
Fermi-level density of states (states/eV per cell): 0.00

Lattice parameters (Å, degrees): 7.281 7.281 7.710 61.82 61.82 60.00
Fractional coordinates of all 10 atoms:
Ac 0.805 0.805 0.586
Se 0.933 0.594 0.244
Se 0.230 0.933 0.244
Se 0.154 0.373 0.751
Se 0.594 0.230 0.244
Se 0.373 0.721 0.751
Se 0.721 0.154 0.751
Sc 0.323 0.323 0.031
Dy 0.520 0.520 0.439
Dy 0.009 0.009 0.974

=====

[15]
A relaxed AcTbDySc crystal. Source: the Alexandria database, functional PBE.

Summary:
ΔH_f (0 K) (meV per atom): 128
Electronic total energy (eV per cell): -19.16
Fermi-level density of states (states/eV per cell): 6.31

Lattice parameters (Å, degrees): 5.712 5.712 5.712 60.00 60.00 60.00
Fractional coordinates of all 4 atoms:
Sc 0.500 0.500 0.500
Ac 0.250 0.250 0.250
Tb 0.750 0.750 0.750
Dy 0.000 0.000 0.000

=====

[16]
A relaxed Ac2DyScTe5 crystal. Source: the Alexandria database, functional PBE.

Summary:
ΔE_f (raw) (meV/atom): -1379.6
Electronic total energy (eV per cell): -94.55
Fermi-level density of states (states/eV per cell): 13.35

Lattice parameters (Å, degrees): 4.461 9.633 14.310 90.00 90.00 103.39
Fractional coordinates of all 18 atoms:
Te 0.485 0.970 0.767
Te 0.323 0.647 0.362
Te 0.628 0.257 0.500
Te 0.053 0.106 0.070
Te 0.720 0.440 0.162
Te 0.280 0.560 0.662
Te 0.677 0.353 0.862
Te 0.372 0.743 0.000
Te 0.947 0.894 0.570
Te 0.515 0.030 0.267
Ac 0.895 0.790 0.187
Ac 0.143 0.287 0.311
Ac 0.857 0.713 0.811
Ac 0.105 0.210 0.687
Dy 0.794 0.589 0.512
Dy 0.206 0.411 0.012
Sc 0.530 0.059 0.953
Sc 0.470 0.941 0.453

=====

[17]
A relaxed Ac2DyScTe6 crystal. Source: the Alexandria database, functional PBE.

Summary:
ΔE_f (raw) (meV/atom): -1467.6
Electronic total energy (eV per cell): -105.35

Lattice parameters (Å, degrees): 7.489 8.385 11.135 90.00 89.40 90.00
Fractional coordinates of all 20 atoms:
Te 0.173 0.177 0.060
Te 0.131 0.473 0.743
Te 0.163 0.187 0.440
Te 0.663 0.313 0.940
Te 0.369 0.973 0.757
Te 0.827 0.823 0.940
Te 0.837 0.813 0.560
Te 0.337 0.687 0.060
Te 0.631 0.027 0.243
Te 0.327 0.677 0.440
Te 0.869 0.527 0.257
Te 0.673 0.323 0.560
Ac 0.452 0.388 0.248
Ac 0.548 0.612 0.752
Ac 0.952 0.112 0.748
Ac 0.048 0.888 0.252
Dy 0.000 0.500 0.000
Dy 0.500 0.000 0.500
Sc 0.000 0.500 0.500
Sc 0.500 0.000 0.000

=====

[18]
A relaxed AcDyThSc crystal. Source: the Alexandria database, functional PBE.

Summary:
ΔH_f (0 K) (meV per atom): 128
Electronic total energy (eV per cell): -21.95
Fermi-level density of states (states/eV per cell): 4.95

Lattice parameters (Å, degrees): 5.693 5.693 5.693 60.00 60.00 60.00
Fractional coordinates of all 4 atoms:
Sc 0.000 0.000 0.000
Dy 0.500 0.500 0.500
Ac 0.750 0.750 0.750
Th 0.250 0.250 0.250

=====

[19]
A relaxed AcDyYSc crystal. Source: the Alexandria database, functional PBE.

Summary:
ΔH_f (0 K) (meV per atom): 129
Electronic total energy (eV per cell): -20.99
Fermi-level density of states (states/eV per cell): 6.37

Lattice parameters (Å, degrees): 5.716 5.716 5.716 60.00 60.00 60.00
Fractional coordinates of all 4 atoms:
Y 0.750 0.750 0.750
Ac 0.250 0.250 0.250
Sc 0.000 0.000 0.000
Dy 0.500 0.500 0.500

=====

[20]
A relaxed AcDyYSc crystal. Source: the Alexandria database, functional PBE.

Summary:
ΔH_f (0 K) (meV per atom): 124
Electronic total energy (eV per cell): -21.01
Fermi-level density of states (states/eV per cell): 5.95

Lattice parameters (Å, degrees): 5.714 5.714 5.714 60.00 60.00 60.00
Fractional coordinates of all 4 atoms:
Ac 0.000 0.000 0.000
Y 0.250 0.250 0.250
Dy 0.500 0.500 0.500
Sc 0.750 0.750 0.750